Na3Sc2UO6, relaxed, DFT PBE; total moment = 3.021 μB/f.u.; energy relative to the elements, uncorrected = -2.5963 eV/atom
1.0
5.6954 -0.0029 0.0046
-2.8489 4.9317 0.0046
-0.9449 -1.6360 5.5846
Na Sc U O
3 2 1 6
Direct
0.1733 0.8267 0.5000
0.8267 0.1733 0.5000
0.5000 0.5000 0.5000
0.3337 0.6663 0.0000
0.6663 0.3337 0.0000
0.0000 0.0000 0.0000
0.9305 0.5860 0.7899
0.7254 0.7254 0.2115
0.0695 0.4140 0.2101
0.5860 0.9305 0.7899
0.2746 0.2746 0.7885
0.4140 0.0695 0.2101